Entry A
Compound: CrSiBr2
Source: Alexandria via LeMat-Bulk
Functional: PBE
Structure: relaxed

Cell: 6.488 6.488 6.734 Å, 61.20 61.20 90.00°
Positions (direct):
Cr  0.000  0.000  0.000
Cr  0.750  0.250  0.500
Si  0.500  0.500  0.000
Si  0.250  0.750  0.500
Br  0.693  0.125  0.250
Br  0.057  0.625  0.250
Br  0.375  0.307  0.750
Br  0.875  0.943  0.750

Output
- M_tot: 0.00 μB per cell
- SG: I-42d

Entry B
Compound: CrSiBr2
Source: Alexandria via LeMat-Bulk
Functional: PBE
Structure: relaxed

Cell: 9.135 9.135 9.135 Å, 22.99 22.99 22.99°
Last column: magnetic moment on the atom in μB.
Positions (direct):
Cr  0.500  0.500  0.500  3.89
Si  0.000  0.000  0.000  0.06
Br  0.896  0.896  0.896  0.01
Br  0.104  0.104  0.104  0.01

Output
- M_tot: 4.54 μB per cell
- SG: R-3m

entry B has the most favorable energy; the next structure is 0.719 eV/atom above.

Entry A
Compound: CrSiBr2
Source: Alexandria via LeMat-Bulk
Functional: PBE
Structure: relaxed

Cell: 3.368 3.601 8.325 Å, 72.14 90.00 90.00°
Last column: magnetic moment on the atom in μB.
Positions (direct):
Br  0.000  0.202  0.901  -0.03
Br  0.500  0.364  0.351  -0.03
Cr  0.000  0.241  0.595  2.22
Si  0.500  0.693  0.653  -0.12

Output
- M_tot: 2.08 μB per cell
- SG: Pm

Entry B
Compound: CrSiBr2
Source: Alexandria via LeMat-Bulk
Functional: PBE
Structure: relaxed

Cell: 5.051 5.050 5.040 Å, 65.36 80.56 114.73°
Last column: magnetic moment on the atom in μB.
Positions (direct):
Br  0.000  0.000  0.000  -0.02
Br  0.500  0.000  0.500  -0.02
Cr  0.000  0.500  0.500  3.92
Si  0.500  0.500  0.000  -0.10

Output
- M_tot: 4.04 μB per cell
- SG: C2/m

Entry C
Compound: CrSiBr2
Source: Alexandria via LeMat-Bulk
Functional: PBE
Structure: relaxed

Cell: 3.417 3.586 8.480 Å, 90.00 90.00 90.00°
Last column: magnetic moment on the atom in μB.
Positions (direct):
Br  0.000  0.000  0.920  0.03
Br  0.500  0.500  0.330  -0.01
Cr  0.000  0.000  0.650  2.19
Si  0.500  0.500  0.599  -0.11

Output
- M_tot: 2.19 μB per cell
- SG: Pmm2

entry A has the most favorable energy; the next structure is 0.022 eV/atom above.

Entry A
Compound: CrSiBr2
Source: Alexandria via LeMat-Bulk
Functional: PBE
Structure: relaxed

Cell: 3.489 6.184 7.509 Å, 34.71 90.00 90.00°
Last column: magnetic moment on the atom in μB.
Positions (direct):
Br  0.000  0.000  0.000  -0.04
Br  0.500  0.500  0.000  0.00
Cr  0.500  0.500  0.500  3.95
Si  0.000  0.000  0.500  -0.14

Output
- M_tot: 3.94 μB per cell
- SG: P2/m

Entry B
Compound: CrSiBr2
Source: Alexandria via LeMat-Bulk
Functional: PBE
Structure: relaxed

Cell: 3.518 4.976 4.976 Å, 90.00 90.00 90.00°
Last column: magnetic moment on the atom in μB.
Positions (direct):
Br  0.000  0.000  0.000  0.02
Br  0.000  0.500  0.500  0.02
Cr  0.500  0.500  0.000  4.16
Si  0.500  0.000  0.500  -0.10

Output
- M_tot: 4.49 μB per cell
- SG: P4/mmm

entry A has the most favorable energy; the next structure is 0.135 eV/atom above.

Entry A
Compound: CrSiBr2
Source: Alexandria via LeMat-Bulk
Functional: PBE
Structure: relaxed

Cell: 3.332 3.332 8.186 Å, 90.00 90.00 90.00°
Last column: magnetic moment on the atom in μB.
Positions (direct):
Br  0.000  0.000  0.043  -0.03
Br  0.000  0.000  0.457  -0.03
Cr  0.500  0.500  0.250  3.95
Si  0.500  0.500  0.750  -0.04

Output
- M_tot: 4.25 μB per cell
- SG: P4/mmm

Entry B
Compound: CrSiBr2
Source: Alexandria via LeMat-Bulk
Functional: PBE
Structure: relaxed

Cell: 4.987 4.987 4.987 Å, 60.00 60.00 60.00°
Last column: magnetic moment on the atom in μB.
Positions (direct):
Br  0.000  0.000  0.000  0.09
Br  0.750  0.750  0.750  -0.03
Cr  0.500  0.500  0.500  3.84
Si  0.250  0.250  0.250  -0.04

Output
- M_tot: 4.28 μB per cell
- SG: F-43m

entry A has the most favorable energy; the next structure is 0.244 eV/atom above.